Entry from the Alexandria database: a relaxed DyBiPb crystal (PBE).

a = 4.115 Å, b = 4.115 Å, c = 6.016 Å
α = 110.00°, β = 110.00°, γ = 90.00°
Sites, in units of the cell vectors:
Dy 0.291 0.291 0.581
Bi 0.935 0.935 0.871
Pb 0.624 0.624 0.248

Values from the calculation:
Energy above the lowest structure with this stoichiometry in meV/atom: 0
Energy of formation in meV per atom: -355
Crystal system: tetragonal
Space group: I4mm (107)
D(E_F) in states/eV per cell: 1.996